Record 1
DFT (GGA-PBE) results for a relaxed LaCoSe crystal.

Cell: 4.1518 4.1518 4.0505 Å, 90.00 90.00 120.00°
Element x y z (fractional)
La1 0.6667 0.3333 0.3212
Se1 0.3333 0.6667 0.8194
Co1 0.0000 0.0000 0.8594

## Properties
- Mass density: 7.60 g/cm3
- Magnetization: 0.00 μB/cell
- Space-group type: No. 156
- Calculated total energy: -6.157 eV per atom

***

Record 2
DFT (GGA-PBE) results for a relaxed ZnRe2SnW crystal.

Cell: 4.7848 4.8769 4.7848 Å, 90.00 90.00 90.00°
Element x y z (fractional)
Zn1 0.0000 0.5000 0.0000
Re1 0.5000 0.0000 0.0000
Re2 0.0000 0.0000 0.5000
Sn1 0.5000 0.5000 0.5000
W1 0.0000 0.0000 0.0000

## Properties
- Mass density: 11.01 g/cm3
- Magnetization: 0.00 μB/cell
- Space-group type: No. 123
- Calculated total energy: -6.887 eV per atom
- E_form: 1.739 eV/atom

***

Record 3
DFT (GGA-PBE) results for a relaxed Pb4Se3Cl crystal.

Cell: 4.2272 4.2272 15.8733 Å, 82.35 82.35 60.00°
Element x y z (fractional)
Pb1 0.6214 0.6214 0.1359
Pb2 0.1267 0.1267 0.6200
Pb3 0.3786 0.3786 0.8641
Pb4 0.8733 0.8733 0.3800
Cl1 0.0000 0.0000 0.0000
Se1 0.5000 0.5000 0.5000
Se2 0.2518 0.2518 0.2445
Se3 0.7482 0.7482 0.7555

## Properties
- Mass density: 7.53 g/cm3
- Magnetization: 0.00 μB/cell
- Space-group type: No. 166
- Calculated total energy: -3.969 eV per atom

***

Record 4
DFT (GGA-PBE) results for a relaxed Ba4AlCd crystal.

Cell: 5.9513 5.9512 10.3295 Å, 73.27 73.26 60.00°
Element x y z (fractional)
Ba1 0.8711 0.8707 0.3871
Ba2 0.6210 0.6213 0.1367
Ba3 0.1289 0.1293 0.6129
Ba4 0.3790 0.3787 0.8633
Al1 0.5000 0.5000 0.5000
Cd1 0.0000 0.0000 0.0000

## Properties
- Mass density: 3.83 g/cm3
- Magnetization: 0.00 μB/cell
- Space-group type: No. 166
- Distance to the lowest polymorph of the same formula: 102.0 meV per atom
- Calculated total energy: -2.109 eV per atom
- E_form: -0.051 eV/atom

***

Record 5
DFT (GGA-PBE) results for a relaxed SrReN3 crystal.

Cell: 5.7530 4.2603 7.6650 Å, 87.15 83.30 60.62°
Element x y z (fractional)
Sr1 0.3415 0.7547 0.0741
Sr2 0.9157 0.6442 0.7452
Re1 0.8980 0.4035 0.3338
Re2 0.6064 0.0664 0.3852
N1 0.2593 0.2823 0.2693
N2 0.3714 0.9622 0.7495
N3 0.8185 0.2133 0.5380
N4 0.7960 0.1921 0.1545
N5 0.8155 0.1681 0.9831
N6 0.4447 0.0028 0.6003

## Properties
- Mass density: 6.45 g/cm3
- Magnetization: 0.00 μB/cell
- Space-group type: No. 1
- Calculated total energy: -8.069 eV per atom

***

Record 6
DFT (GGA-PBE) results for a relaxed Rb2IrPt crystal.

Cell: 12.5228 12.5228 9.1782 Å, 46.98 46.98 90.00°
Element x y z (fractional)
Rb1 0.8750 0.0759 0.7500
Rb2 0.9241 0.6250 0.2500
Rb3 0.8259 0.1250 0.2500
Rb4 0.3750 0.1741 0.7500
Pt1 0.7500 0.2500 0.5000
Pt2 0.0000 0.0000 0.0000
Ir1 0.5000 0.5000 0.0000
Ir2 0.2500 0.7500 0.5000

## Properties
- Mass density: 4.90 g/cm3
- Magnetization: 0.00 μB/cell
- Space-group type: No. 122
- Distance to the lowest polymorph of the same formula: 0.0 meV per atom
- Calculated total energy: -3.646 eV per atom
- E_form: 0.564 eV/atom

***

Record 7
DFT (GGA-PBE) results for a relaxed Ga3Cu3Ag crystal.

Cell: 6.7121 6.7121 6.7121 Å, 90.00 90.00 90.00°
Element x y z (fractional)
Cu1 0.7500 0.5000 0.0000
Cu2 0.0000 0.2500 0.5000
Cu3 0.2500 0.5000 0.0000
Cu4 0.5000 0.0000 0.2500
Cu5 0.0000 0.7500 0.5000
Cu6 0.5000 0.0000 0.7500
Ga1 0.0000 0.5000 0.7500
Ga2 0.5000 0.7500 0.0000
Ga3 0.0000 0.5000 0.2500
Ga4 0.7500 0.0000 0.5000
Ga5 0.2500 0.0000 0.5000
Ga6 0.5000 0.2500 0.0000
Ag1 0.5000 0.5000 0.5000
Ag2 0.0000 0.0000 0.0000

## Properties
- Mass density: 5.58 g/cm3
- Magnetization: 0.00 μB/cell
- Space-group type: No. 223
- Calculated total energy: -2.950 eV per atom
- E_form: 0.510 eV/atom

***

Record 8
DFT (GGA-PBE) results for a relaxed CaTl2Ag crystal.

Cell: 4.9036 3.6380 6.1145 Å, 80.29 90.00 90.00°
Element x y z (fractional)
Ag1 0.5000 0.2500 0.2500
Tl1 0.0000 0.4053 0.4821
Tl2 0.0000 0.0947 0.0179
Ca1 0.5000 0.7500 0.7500

## Properties
- Mass density: 8.60 g/cm3
- Magnetization: 0.00 μB/cell
- Space-group type: No. 10
- Calculated total energy: -2.540 eV per atom
- E_form: -0.144 eV/atom

***

> What is the calculated total energy in the fourth record?

-2.109 eV per atom